The following is a DFT calculation (GGA-PBE) of a relaxed structure of LiRe2Ag.

Summary:
As for the formation energy: 0.58 eV/atom. For the density of states at the Fermi level, the calculation gives 1.737 states/eV per atom. As for the space group: No. 166.

```
LiRe2Ag
1.0
1.363 0.787 9.666
-1.363 0.787 9.666
0.000 -1.574 9.666
Li Re Ag
1 2 1
direct
0.000 0.000 0.000 Li
0.251 0.251 0.251 Re
0.749 0.749 0.749 Re
0.500 0.500 0.500 Ag
```

***

The following is a DFT calculation (GGA-PBE) of a relaxed structure of Li2ReAg.

Summary:
As for the formation energy: 0.77 eV/atom. For the density of states at the Fermi level, the calculation gives 0.502 states/eV per atom. As for the space group: No. 225.

```
Li2ReAg
1.0
0.000 3.062 3.062
3.062 0.000 3.062
3.062 3.062 0.000
Li Re Ag
2 1 1
direct
0.250 0.250 0.250 Li
0.750 0.750 0.750 Li
0.000 0.000 0.000 Re
0.500 0.500 0.500 Ag
```

***

The following is a DFT calculation (GGA-PBE) of a relaxed structure of Li2ReAg.

Summary:
As for the formation energy: 0.73 eV/atom. For the density of states at the Fermi level, the calculation gives 0.786 states/eV per atom. As for the space group: No. 216.

```
Li2ReAg
1.0
0.000 3.137 3.137
3.137 0.000 3.137
3.137 3.137 0.000
Li Re Ag
2 1 1
direct
0.000 0.000 0.000 Li
0.250 0.250 0.250 Li
0.750 0.750 0.750 Re
0.500 0.500 0.500 Ag
```

***

The following is a DFT calculation (GGA-PBE) of a relaxed structure of LiRe2Ag.

Summary:
As for the formation energy: 0.70 eV/atom. For the density of states at the Fermi level, the calculation gives 0.654 states/eV per atom. As for the space group: No. 122.

```
LiRe2Ag
1.0
-1.800 1.800 10.078
1.800 -1.800 10.078
1.800 1.800 -10.078
Li Re Ag
2 4 2
direct
0.000 0.000 0.000 Li
0.750 0.250 0.500 Li
0.105 0.625 0.980 Re
0.375 0.355 0.480 Re
0.645 0.125 0.020 Re
0.875 0.895 0.520 Re
0.250 0.750 0.500 Ag
0.500 0.500 0.000 Ag
```

***

> What is the formula in the fourth record?

LiRe2Ag